Record 1
# CsU2PaS8, optimized geometry, DFT GGA-PBE
# total magnetic moment	2.01	μB/f.u.
# DOS at the Fermi energy	10.2	states/eV per cell
# volume	30.966	Å³/atom
# space group	R-3
data_CsU2PaS8
_chemical_formula_sum 'Cs1 U2 Pa1 S8'
_cell_length_a 7.089
_cell_length_b 7.089
_cell_length_c 9.469
_cell_angle_alpha 68.02
_cell_angle_beta 68.02
_cell_angle_gamma 60.00
_symmetry_space_group_name_H-M 'P 1'
_symmetry_Int_Tables_number 1
loop_
_symmetry_equiv_pos_as_xyz
'x,y,z'
loop_
_atom_site_label
_atom_site_type_symbol
_atom_site_fract_x
_atom_site_fract_y
_atom_site_fract_z
Cs1 Cs 0.500 0.500 0.500
U1 U 0.308 0.308 0.077
U2 U 0.692 0.692 0.923
Pa1 Pa 0.000 0.000 0.000
S1 S 0.214 0.214 0.359
S2 S 0.653 0.310 0.141
S3 S 0.786 0.786 0.641
S4 S 0.897 0.653 0.141
S5 S 0.103 0.347 0.859
S6 S 0.310 0.897 0.141
S7 S 0.690 0.103 0.859
S8 S 0.347 0.690 0.859



Record 2
# CsUPa2S8, optimized geometry, DFT GGA-PBE
# total magnetic moment	1.04	μB/f.u.
# DOS at the Fermi energy	1.1	states/eV per cell
# volume	32.060	Å³/atom
# space group	P-3
data_CsUPa2S8
_chemical_formula_sum 'Cs1 U1 Pa2 S8'
_cell_length_a 7.023
_cell_length_b 7.023
_cell_length_c 9.007
_cell_angle_alpha 90.00
_cell_angle_beta 90.00
_cell_angle_gamma 120.00
_symmetry_space_group_name_H-M 'P 1'
_symmetry_Int_Tables_number 1
loop_
_symmetry_equiv_pos_as_xyz
'x,y,z'
loop_
_atom_site_label
_atom_site_type_symbol
_atom_site_fract_x
_atom_site_fract_y
_atom_site_fract_z
Cs1 Cs 0.000 0.000 0.500
U1 U 0.000 0.000 0.000
Pa1 Pa 0.667 0.333 0.082
Pa2 Pa 0.333 0.667 0.918
S1 S 0.938 0.646 0.862
S2 S 0.354 0.292 0.862
S3 S 0.708 0.062 0.862
S4 S 0.062 0.354 0.138
S5 S 0.646 0.708 0.138
S6 S 0.292 0.938 0.138
S7 S 0.667 0.333 0.350
S8 S 0.333 0.667 0.650



Record 3
# Cs4U3PaS12, optimized geometry, DFT GGA-PBE
# total magnetic moment	3.00	μB/f.u.
# DOS at the Fermi energy	8.5	states/eV per cell
# volume	29.338	Å³/atom
# space group	Im-3m
data_Cs4U3PaS12
_chemical_formula_sum 'Cs4 U3 Pa1 S12'
_cell_length_a 9.135
_cell_length_b 9.135
_cell_length_c 9.135
_cell_angle_alpha 109.47
_cell_angle_beta 109.47
_cell_angle_gamma 109.47
_symmetry_space_group_name_H-M 'P 1'
_symmetry_Int_Tables_number 1
loop_
_symmetry_equiv_pos_as_xyz
'x,y,z'
loop_
_atom_site_label
_atom_site_type_symbol
_atom_site_fract_x
_atom_site_fract_y
_atom_site_fract_z
Cs1 Cs 0.500 0.500 0.500
Cs2 Cs 0.000 0.000 0.500
Cs3 Cs 0.500 0.000 0.000
Cs4 Cs 0.000 0.500 0.000
U1 U 0.500 0.000 0.500
U2 U 0.500 0.500 0.000
U3 U 0.000 0.500 0.500
Pa1 Pa 0.000 0.000 0.000
S1 S 0.250 0.500 0.750
S2 S 0.749 0.000 0.749
S3 S 0.251 0.000 0.251
S4 S 0.750 0.500 0.250
S5 S 0.749 0.749 0.000
S6 S 0.251 0.251 0.000
S7 S 0.750 0.250 0.500
S8 S 0.250 0.750 0.500
S9 S 0.500 0.250 0.750
S10 S 0.000 0.749 0.749
S11 S 0.500 0.750 0.250
S12 S 0.000 0.251 0.251



| no. | E_form (uncorrected) (meV/atom) |
| --- | --- |
| 1 | -1294 |
| 2 | -1376 |
| 3 | -1419 |